First-principles (PBE-GGA) data for a geometry-optimized PmZrSb3 structure, as listed in the Alexandria database.

Computed properties:
Fermi-level density of states, states/eV/cell: 11.31
Formation energy (no corrections), eV/f.u.: -3.73

Lattice parameters (Å, degrees): 13.444 6.363 6.412 90.00 90.00 90.00
Fractional coordinates of all 20 atoms:
Pm1 0.180 0.012 0.250
Pm2 0.180 0.488 0.750
Pm3 0.820 0.512 0.250
Pm4 0.820 0.988 0.750
Zr1 0.408 0.750 0.000
Zr2 0.408 0.750 0.500
Zr3 0.592 0.250 0.000
Zr4 0.592 0.250 0.500
Sb1 0.003 0.750 0.000
Sb2 0.003 0.750 0.500
Sb3 0.261 0.504 0.250
Sb4 0.261 0.996 0.750
Sb5 0.418 0.129 0.250
Sb6 0.418 0.371 0.750
Sb7 0.582 0.629 0.250
Sb8 0.582 0.871 0.750
Sb9 0.739 0.004 0.250
Sb10 0.739 0.496 0.750
Sb11 0.997 0.250 0.000
Sb12 0.997 0.250 0.500